The following is a DFT calculation (PBE-GGA) of a relaxed Si2P crystal.

Calculated values
**Calculated volume**: 44 Å³ per cell
**Energy relative to the elements, uncorrected**: 0.3329 eV/atom
**Energy above the lowest structure with this stoichiometry**: 0.99 eV per formula unit

a b c (Å): 4.4865 4.4865 2.5335
angles (deg): 90.00 90.00 120.00
Space group P6/mmm (No. 191)
One atom of each set of equivalent atoms:
Si: 0.3333 0.6667 0.0000 (multiplicity 2)
P: 0.0000 0.0000 0.0000 (multiplicity 1)